Version A
# Y2FeW PBE optimized geometry
# Fermi-level density of states: 9.61 states/eV/f.u.
data_Y2FeW
_chemical_formula_sum 'Y8 Fe4 W4'
_space_group_name_H-M_alt 'F m -3 m'
_space_group_IT_number 225
_space_group_name_Hall '-F 4 2 3'
_cell_length_a 6.889
_cell_length_b 6.889
_cell_length_c 6.889
_cell_angle_alpha 90.00
_cell_angle_beta 90.00
_cell_angle_gamma 90.00
loop_
_atom_site_label
_atom_site_type_symbol
_atom_site_fract_x
_atom_site_fract_y
_atom_site_fract_z
Y1 Y 0.250 0.250 0.250
Fe1 Fe 0.000 0.000 0.000
W1 W 0.000 0.000 0.500

Version B
# Y2FeW PBE optimized geometry
# Fermi-level density of states: 4.32 states/eV/f.u.
data_Y2FeW
_chemical_formula_sum 'Y4 Fe2 W2'
_space_group_name_H-M_alt 'I m m 2'
_space_group_IT_number 44
_cell_length_a 3.373
_cell_length_b 4.927
_cell_length_c 10.452
_cell_angle_alpha 90.00
_cell_angle_beta 90.00
_cell_angle_gamma 90.00
loop_
_space_group_symop_operation_xyz
'x,y,z'
'-x,-y,z'
'-x,y,z'
'x,-y,z'
'x+1/2,y+1/2,z+1/2'
'-x+1/2,-y+1/2,z+1/2'
'-x+1/2,y+1/2,z+1/2'
'x+1/2,-y+1/2,z+1/2'
loop_
_atom_site_label
_atom_site_type_symbol
_atom_site_fract_x
_atom_site_fract_y
_atom_site_fract_z
Y1 Y 0.000 0.000 0.000
Y2 Y 0.000 0.500 0.214
Fe1 Fe 0.000 0.500 0.763
W1 W 0.000 0.000 0.418

Stability, lowest: version A

Version A
# Y2FeW PBE optimized geometry
# Fermi-level density of states: 6.68 states/eV/f.u.
data_Y2FeW
_chemical_formula_sum 'Y6 Fe3 W3'
_space_group_name_H-M_alt 'R -3 m'
_space_group_IT_number 166
_space_group_name_Hall '-R 3 2"'
_cell_length_a 3.1815
_cell_length_b 3.1815
_cell_length_c 28.8028
_cell_angle_alpha 90.00
_cell_angle_beta 90.00
_cell_angle_gamma 120.00
loop_
_atom_site_label
_atom_site_type_symbol
_atom_site_fract_x
_atom_site_fract_y
_atom_site_fract_z
Y1 Y 0.0000 0.0000 0.2464
Fe1 Fe 0.0000 0.0000 0.5000
W1 W 0.0000 0.0000 0.0000

Version B
# Y2FeW PBE optimized geometry
# Fermi-level density of states: 7.88 states/eV/f.u.
data_Y2FeW
_chemical_formula_sum 'Y8 Fe4 W4'
_space_group_name_H-M_alt 'F -4 3 m'
_space_group_IT_number 216
_space_group_name_Hall 'F -4 2 3'
_cell_length_a 6.849
_cell_length_b 6.849
_cell_length_c 6.849
_cell_angle_alpha 90.00
_cell_angle_beta 90.00
_cell_angle_gamma 90.00
loop_
_atom_site_label
_atom_site_type_symbol
_atom_site_fract_x
_atom_site_fract_y
_atom_site_fract_z
Y1 Y 0.000 0.000 0.000
Y2 Y 0.250 0.250 0.250
Fe1 Fe 0.000 0.000 0.500
W1 W 0.250 0.250 0.750

Version C
# Y2FeW PBE optimized geometry
# Fermi-level density of states: 4.19 states/eV/f.u.
data_Y2FeW
_chemical_formula_sum 'Y2 Fe1 W1'
_space_group_name_H-M_alt 'P 4 m m'
_space_group_IT_number 99
_cell_length_a 3.154
_cell_length_b 3.154
_cell_length_c 8.649
_cell_angle_alpha 90.00
_cell_angle_beta 90.00
_cell_angle_gamma 90.00
loop_
_space_group_symop_operation_xyz
'x,y,z'
'-y,x,z'
'-x,-y,z'
'y,-x,z'
'-x,y,z'
'y,x,z'
'x,-y,z'
'-y,-x,z'
loop_
_atom_site_label
_atom_site_type_symbol
_atom_site_fract_x
_atom_site_fract_y
_atom_site_fract_z
Y1 Y 0.000 0.000 0.000
Y2 Y 0.500 0.500 0.376
Fe1 Fe 0.000 0.000 0.609
W1 W 0.500 0.500 0.748

Stability, lowest: version A

Version A
# Y2FeW PBE optimized geometry
# Fermi-level density of states: 8.45 states/eV/f.u.
data_Y2FeW
_chemical_formula_sum 'Y2 Fe1 W1'
_space_group_name_H-M_alt 'P 4/m m m'
_space_group_IT_number 123
_space_group_name_Hall '-P 4 2'
_cell_length_a 4.994
_cell_length_b 4.994
_cell_length_c 3.428
_cell_angle_alpha 90.00
_cell_angle_beta 90.00
_cell_angle_gamma 90.00
loop_
_atom_site_label
_atom_site_type_symbol
_atom_site_fract_x
_atom_site_fract_y
_atom_site_fract_z
Y1 Y 0.000 0.500 0.000
Fe1 Fe 0.000 0.000 0.500
W1 W 0.500 0.500 0.500

Version B
# Y2FeW PBE optimized geometry
# Fermi-level density of states: 6.85 states/eV/f.u.
data_Y2FeW
_chemical_formula_sum 'Y8 Fe4 W4'
_space_group_name_H-M_alt 'I -4 2 d'
_space_group_IT_number 122
_space_group_name_Hall 'I -4 2bw'
_cell_length_a 7.722
_cell_length_b 7.722
_cell_length_c 5.763
_cell_angle_alpha 90.00
_cell_angle_beta 90.00
_cell_angle_gamma 90.00
loop_
_atom_site_label
_atom_site_type_symbol
_atom_site_fract_x
_atom_site_fract_y
_atom_site_fract_z
Y1 Y 0.216 0.250 0.125
Fe1 Fe 0.000 0.000 0.000
W1 W 0.000 0.000 0.500

Stability, lowest: version B

Version A
# Y2FeW PBE optimized geometry
# Fermi-level density of states: 6.45 states/eV/f.u.
data_Y2FeW
_chemical_formula_sum 'Y2 Fe1 W1'
_space_group_name_H-M_alt 'P 1 2/m 1'
_space_group_IT_number 10
_cell_length_a 3.122
_cell_length_b 3.617
_cell_length_c 7.473
_cell_angle_alpha 90.00
_cell_angle_beta 90.11
_cell_angle_gamma 90.00
loop_
_space_group_symop_operation_xyz
'x,y,z'
'-x,-y,-z'
'-x,y,-z'
'x,-y,z'
loop_
_atom_site_label
_atom_site_type_symbol
_atom_site_fract_x
_atom_site_fract_y
_atom_site_fract_z
Y1 Y 0.000 0.000 0.242
Fe1 Fe 0.500 0.500 0.000
W1 W 0.500 0.500 0.500

Version B
# Y2FeW PBE optimized geometry
# Fermi-level density of states: 1.67 states/eV/f.u.
data_Y2FeW
_chemical_formula_sum 'Y2 Fe1 W1'
_space_group_name_H-M_alt 'P 1 m 1'
_space_group_IT_number 6
_cell_length_a 3.266
_cell_length_b 4.000
_cell_length_c 7.007
_cell_angle_alpha 90.00
_cell_angle_beta 101.75
_cell_angle_gamma 90.00
loop_
_space_group_symop_operation_xyz
'x,y,z'
'x,-y,z'
loop_
_atom_site_label
_atom_site_type_symbol
_atom_site_fract_x
_atom_site_fract_y
_atom_site_fract_z
Y1 Y 0.000 0.000 0.000
Y2 Y 0.332 0.500 0.616
Fe1 Fe 0.523 0.500 0.228
W1 W 0.761 0.000 0.378

Stability, lowest: version A

Version A
# YFeW PBE optimized geometry
# Fermi-level density of states: 2.77 states/eV/f.u.
data_YFeW
_chemical_formula_sum 'Y4 Fe4 W4'
_space_group_name_H-M_alt 'F -4 3 m'
_space_group_IT_number 216
_space_group_name_Hall 'F -4 2 3'
_cell_length_a 6.160
_cell_length_b 6.160
_cell_length_c 6.160
_cell_angle_alpha 90.00
_cell_angle_beta 90.00
_cell_angle_gamma 90.00
loop_
_atom_site_label
_atom_site_type_symbol
_atom_site_fract_x
_atom_site_fract_y
_atom_site_fract_z
Y1 Y 0.000 0.000 0.000
Fe1 Fe 0.250 0.250 0.250
W1 W 0.000 0.000 0.500

Version B
# YFeW PBE optimized geometry
# Fermi-level density of states: 3.48 states/eV/f.u.
data_YFeW
_chemical_formula_sum 'Y1 Fe1 W1'
_space_group_name_H-M_alt 'P -6 m 2'
_space_group_IT_number 187
_space_group_name_Hall 'P -6 2'
_cell_length_a 3.9775
_cell_length_b 3.9775
_cell_length_c 4.4629
_cell_angle_alpha 90.00
_cell_angle_beta 90.00
_cell_angle_gamma 120.00
loop_
_atom_site_label
_atom_site_type_symbol
_atom_site_fract_x
_atom_site_fract_y
_atom_site_fract_z
Y1 Y 0.0000 0.0000 0.0000
Fe1 Fe 0.3333 0.6667 0.5000
W1 W 0.6667 0.3333 0.5000

Stability, lowest: version A

Version A
# YFeW2 PBE optimized geometry
# Fermi-level density of states: 3.34 states/eV/f.u.
data_YFeW2
_chemical_formula_sum 'Y1 Fe1 W2'
_space_group_name_H-M_alt 'P 4/m m m'
_space_group_IT_number 123
_space_group_name_Hall '-P 4 2'
_cell_length_a 2.977
_cell_length_b 2.977
_cell_length_c 7.881
_cell_angle_alpha 90.00
_cell_angle_beta 90.00
_cell_angle_gamma 90.00
loop_
_atom_site_label
_atom_site_type_symbol
_atom_site_fract_x
_atom_site_fract_y
_atom_site_fract_z
Y1 Y 0.000 0.000 0.000
Fe1 Fe 0.000 0.000 0.500
W1 W 0.500 0.500 0.308

Version B
# YFeW2 PBE optimized geometry
# Fermi-level density of states: 3.82 states/eV/f.u.
data_YFeW2
_chemical_formula_sum 'Y2 Fe2 W4'
_space_group_name_H-M_alt 'C m m m'
_space_group_IT_number 65
_space_group_name_Hall '-C 2 2'
_cell_length_a 5.379
_cell_length_b 9.603
_cell_length_c 2.741
_cell_angle_alpha 90.00
_cell_angle_beta 90.00
_cell_angle_gamma 90.00
loop_
_atom_site_label
_atom_site_type_symbol
_atom_site_fract_x
_atom_site_fract_y
_atom_site_fract_z
Y1 Y 0.000 0.000 0.000
Fe1 Fe 0.000 0.500 0.000
W1 W 0.250 0.250 0.500

Version C
# YFeW2 PBE optimized geometry
# Fermi-level density of states: 4.57 states/eV/f.u.
data_YFeW2
_chemical_formula_sum 'Y1 Fe1 W2'
_space_group_name_H-M_alt 'P 4/m m m'
_space_group_IT_number 123
_space_group_name_Hall '-P 4 2'
_cell_length_a 3.814
_cell_length_b 3.814
_cell_length_c 4.877
_cell_angle_alpha 90.00
_cell_angle_beta 90.00
_cell_angle_gamma 90.00
loop_
_atom_site_label
_atom_site_type_symbol
_atom_site_fract_x
_atom_site_fract_y
_atom_site_fract_z
Y1 Y 0.000 0.000 0.000
Fe1 Fe 0.500 0.500 0.000
W1 W 0.000 0.500 0.500

Stability, lowest: version B

Version A
# YFeW2 PBE optimized geometry
# Fermi-level density of states: 4.27 states/eV/f.u.
data_YFeW2
_chemical_formula_sum 'Y1 Fe1 W2'
_space_group_name_H-M_alt 'P 1 m 1'
_space_group_IT_number 6
_cell_length_a 2.863
_cell_length_b 4.260
_cell_length_c 6.037
_cell_angle_alpha 90.00
_cell_angle_beta 101.91
_cell_angle_gamma 90.00
loop_
_space_group_symop_operation_xyz
'x,y,z'
'x,-y,z'
loop_
_atom_site_label
_atom_site_type_symbol
_atom_site_fract_x
_atom_site_fract_y
_atom_site_fract_z
Y1 Y 0.000 0.000 0.000
Fe1 Fe 0.734 0.500 0.290
W1 W 0.284 0.500 0.692
W2 W 0.502 0.000 0.489

Version B
# YFeW2 PBE optimized geometry
# Fermi-level density of states: 3.73 states/eV/f.u.
data_YFeW2
_chemical_formula_sum 'Y3 Fe3 W6'
_space_group_name_H-M_alt 'R -3 m'
_space_group_IT_number 166
_space_group_name_Hall '-R 3 2"'
_cell_length_a 2.9251
_cell_length_b 2.9251
_cell_length_c 28.1785
_cell_angle_alpha 90.00
_cell_angle_beta 90.00
_cell_angle_gamma 120.00
loop_
_atom_site_label
_atom_site_type_symbol
_atom_site_fract_x
_atom_site_fract_y
_atom_site_fract_z
Y1 Y 0.0000 0.0000 0.0000
Fe1 Fe 0.0000 0.0000 0.5000
W1 W 0.0000 0.0000 0.2375

Stability, lowest: version B

Version A
# YFeW2 PBE optimized geometry
# Fermi-level density of states: 4.33 states/eV/f.u.
data_YFeW2
_chemical_formula_sum 'Y2 Fe2 W4'
_space_group_name_H-M_alt 'I m m m'
_space_group_IT_number 71
_space_group_name_Hall '-I 2 2'
_cell_length_a 3.103
_cell_length_b 4.550
_cell_length_c 9.804
_cell_angle_alpha 90.00
_cell_angle_beta 90.00
_cell_angle_gamma 90.00
loop_
_atom_site_label
_atom_site_type_symbol
_atom_site_fract_x
_atom_site_fract_y
_atom_site_fract_z
Y1 Y 0.000 0.000 0.000
Fe1 Fe 0.000 0.000 0.500
W1 W 0.000 0.500 0.227

Version B
# YFeW2 PBE optimized geometry
# Fermi-level density of states: 4.43 states/eV/f.u.
data_YFeW2
_chemical_formula_sum 'Y4 Fe4 W8'
_space_group_name_H-M_alt 'F -4 3 m'
_space_group_IT_number 216
_space_group_name_Hall 'F -4 2 3'
_cell_length_a 6.493
_cell_length_b 6.493
_cell_length_c 6.493
_cell_angle_alpha 90.00
_cell_angle_beta 90.00
_cell_angle_gamma 90.00
loop_
_atom_site_label
_atom_site_type_symbol
_atom_site_fract_x
_atom_site_fract_y
_atom_site_fract_z
Y1 Y 0.000 0.000 0.000
Fe1 Fe 0.250 0.250 0.750
W1 W 0.000 0.000 0.500
W2 W 0.250 0.250 0.250

Stability, lowest: version B